A plane-wave DFT calculation with meta-GGA SCAN was carried out for a PBEsol-optimized structure of Li8Ti15O32.

Cell and atoms, written as POSCAR:
```
Li8Ti15O32
1.0
2.951 1.704 19.262
-2.951 1.704 19.262
0.000 -3.408 19.262
Li Ti O
8 15 32
Direct
0.000 0.000 0.000
0.061 0.061 0.061
0.250 0.250 0.250
0.311 0.311 0.311
0.561 0.561 0.561
0.656 0.656 0.656
0.749 0.749 0.749
0.812 0.812 0.812
0.023 0.533 0.533
0.032 0.032 0.528
0.032 0.528 0.032
0.156 0.156 0.156
0.281 0.281 0.780
0.281 0.780 0.281
0.288 0.778 0.778
0.405 0.405 0.405
0.528 0.032 0.032
0.533 0.023 0.533
0.533 0.533 0.023
0.778 0.288 0.778
0.778 0.778 0.288
0.780 0.281 0.281
0.906 0.906 0.906
0.076 0.076 0.631
0.076 0.631 0.076
0.096 0.096 0.096
0.126 0.578 0.578
0.184 0.734 0.734
0.216 0.216 0.216
0.235 0.235 0.681
0.235 0.681 0.235
0.325 0.325 0.884
0.325 0.884 0.325
0.346 0.346 0.346
0.369 0.834 0.834
0.434 0.983 0.983
0.464 0.464 0.464
0.477 0.477 0.942
0.477 0.942 0.477
0.578 0.126 0.578
0.578 0.578 0.126
0.596 0.596 0.596
0.631 0.076 0.076
0.681 0.235 0.235
0.715 0.715 0.715
0.734 0.184 0.734
0.734 0.734 0.184
0.834 0.369 0.834
0.834 0.834 0.369
0.847 0.847 0.847
0.884 0.325 0.325
0.942 0.477 0.477
0.965 0.965 0.965
0.983 0.434 0.983
0.983 0.983 0.434
```

Properties
Total magnetic moment: 0.000 μB per atom
Formation energy without anion corrections: -170.81 eV per formula unit

A plane-wave DFT calculation with meta-GGA SCAN was carried out for a PBEsol-optimized structure of TiB3Se.

Cell and atoms, written as POSCAR:
```
TiB3Se
1.0
4.006 0.000 0.000
0.000 4.006 0.000
0.000 0.000 4.006
Ti B Se
1 3 1
Direct
0.000 0.000 0.000
0.000 0.500 0.500
0.500 0.000 0.500
0.500 0.500 0.000
0.500 0.500 0.500
```

Properties
Total magnetic moment: 0.001 μB per atom
Formation energy without anion corrections: 9.24 eV per formula unit

A plane-wave DFT calculation with meta-GGA SCAN was carried out for a PBEsol-optimized structure of Tb6In23Pt12.

Cell and atoms, written as POSCAR:
```
Tb6In23Pt12
1.0
14.104 -2.193 0.000
14.104 2.193 0.000
-5.595 0.000 13.634
Tb In Pt
6 23 12
Direct
0.046 0.046 0.198
0.322 0.322 0.422
0.334 0.334 0.968
0.666 0.666 0.032
0.678 0.678 0.578
0.954 0.954 0.802
0.029 0.029 0.675
0.076 0.076 0.006
0.092 0.092 0.450
0.173 0.173 0.217
0.213 0.213 0.934
0.227 0.227 0.744
0.262 0.262 0.584
0.354 0.354 0.220
0.377 0.377 0.671
0.444 0.444 0.438
0.455 0.455 0.166
0.500 0.500 0.000
0.545 0.545 0.834
0.556 0.556 0.562
0.623 0.623 0.329
0.646 0.646 0.780
0.738 0.738 0.416
0.773 0.773 0.256
0.787 0.787 0.066
0.827 0.827 0.783
0.908 0.908 0.550
0.924 0.924 0.994
0.971 0.971 0.325
0.109 0.109 0.858
0.119 0.119 0.649
0.180 0.180 0.410
0.247 0.247 0.136
0.400 0.400 0.866
0.467 0.467 0.642
0.533 0.533 0.358
0.600 0.600 0.134
0.753 0.753 0.864
0.820 0.820 0.590
0.881 0.881 0.351
0.891 0.891 0.142
```

Properties
Total magnetic moment: 0.000 μB per atom
Formation energy: -76.26 kJ/mol of atoms

A plane-wave DFT calculation with meta-GGA SCAN was carried out for a PBEsol-optimized structure of Er2IrRh.

Cell and atoms, written as POSCAR:
```
Er2IrRh
1.0
0.000 3.341 3.341
3.341 0.000 3.341
3.341 3.341 0.000
Er Ir Rh
2 1 1
Direct
0.250 0.250 0.250
0.750 0.750 0.750
0.000 0.000 0.000
0.500 0.500 0.500
```

Properties
Total magnetic moment: 0.000 μB per atom
Formation energy: -107.41 kJ/mol of atoms